[1]
Density functional theory data (PBE) for Al2Cl3 after structural relaxation.

Computed properties:
- E_tot (eV per atom) = -3.135
- magnetization (μB/f.u.) = 0.00
- space-group type = R-3m, No. 166

a = 9.813 Å, b = 9.813 Å, c = 9.813 Å
α = 24.20°, β = 24.20°, γ = 24.20°
Sites, in units of the cell vectors:
Al 0.609 0.609 0.609
Al 0.391 0.391 0.391
Cl 0.234 0.234 0.234
Cl 0.000 0.000 0.000
Cl 0.766 0.766 0.766

***

[2]
Density functional theory data (PBE) for Ca2CoCu after structural relaxation.

Computed properties:
- formation energy from the elements (eV per atom) = 0.42
- magnetization (μB/f.u.) = 0.00
- space-group type = F-43m, No. 216
- polymorph energy (0 for the lowest one) (meV per atom) = 344

a = 4.801 Å, b = 4.801 Å, c = 4.801 Å
α = 60.00°, β = 60.00°, γ = 60.00°
Sites, in units of the cell vectors:
Co 0.500 0.500 0.500
Cu 0.750 0.750 0.750
Ca 0.250 0.250 0.250
Ca 0.000 0.000 0.000

***

[3]
Density functional theory data (PBE) for NaYI2N after structural relaxation.

Computed properties:
- magnetization (μB/f.u.) = 0.25
- space-group type = P4/mmm, No. 123
- polymorph energy (0 for the lowest one) (meV per atom) = 1078

a = 5.623 Å, b = 5.623 Å, c = 4.309 Å
α = 90.00°, β = 90.00°, γ = 90.00°
Sites, in units of the cell vectors:
I 0.000 0.500 0.000
I 0.500 0.000 0.000
Y 0.500 0.500 0.500
Na 0.000 0.000 0.000
N 0.000 0.000 0.500

***

[4]
Density functional theory data (PBE) for TiCuOsO6 after structural relaxation.

Computed properties:
- E_tot (eV per atom) = -7.357
- magnetization (μB/f.u.) = 0.58
- space-group type = P-31c, No. 163

a = 5.018 Å, b = 5.018 Å, c = 8.967 Å
α = 90.00°, β = 90.00°, γ = 120.00°
Sites, in units of the cell vectors:
O 0.347 0.994 0.131
O 0.347 0.353 0.369
O 0.006 0.653 0.369
O 0.353 0.006 0.631
O 0.994 0.647 0.869
O 0.353 0.347 0.869
O 0.653 0.006 0.869
O 0.647 0.653 0.131
O 0.653 0.647 0.631
O 0.647 0.994 0.369
O 0.994 0.347 0.631
O 0.006 0.353 0.131
Cu 0.000 0.000 0.500
Cu 0.000 0.000 0.000
Ti 0.667 0.333 0.250
Ti 0.333 0.667 0.750
Os 0.333 0.667 0.250
Os 0.667 0.333 0.750